Entry 1:
# KReAs PBE optimized geometry
data_KReAs
_cell_length_a 3.1856
_cell_length_b 3.1856
_cell_length_c 7.4071
_cell_angle_alpha 90.00
_cell_angle_beta 90.00
_cell_angle_gamma 120.00
_symmetry_space_group_name_H-M 'P 1'
_symmetry_Int_Tables_number 1
_symmetry_space_group_name_Hall 'P 1'
loop_
_atom_site_label
_atom_site_type_symbol
_atom_site_fract_x
_atom_site_fract_y
_atom_site_fract_z
_atom_site_occupancy
K1 K 0.0000 0.0000 0.0000 1
Re1 Re 0.6667 0.3333 0.4012 1
As1 As 0.3333 0.6667 0.6239 1
# - Magnetization: 0.5 μB per cell
# - Crystal system: trigonal
# - Space group: P3m1, No. 156
# - Energy above the most stable polymorph in this dataset: 0.39 eV per formula unit

Entry 2:
# Zr2CdCl PBE optimized geometry
data_Zr2CdCl
_cell_length_a 3.1995
_cell_length_b 4.9561
_cell_length_c 5.8402
_cell_angle_alpha 90.00
_cell_angle_beta 105.81
_cell_angle_gamma 90.00
_symmetry_space_group_name_H-M 'P 1'
_symmetry_Int_Tables_number 1
_symmetry_space_group_name_Hall 'P 1'
loop_
_atom_site_label
_atom_site_type_symbol
_atom_site_fract_x
_atom_site_fract_y
_atom_site_fract_z
_atom_site_occupancy
Zr1 Zr 0.0000 0.0000 0.0000 1
Zr2 Zr 0.3379 0.5000 0.6762 1
Cd1 Cd 0.6011 0.5000 0.2002 1
Cl1 Cl 0.3151 0.0000 0.6287 1
# - Raw formation energy: -315 meV per atom
# - Magnetization: 0.0 μB per cell
# - Crystal system: monoclinic
# - Space group: Pm, No. 6
# - Energy above the most stable polymorph in this dataset: 0.82 eV per formula unit

Entry 3:
# Zn2PdBr2 PBE optimized geometry
data_Zn2PdBr2
_cell_length_a 3.5204
_cell_length_b 3.5204
_cell_length_c 17.6801
_cell_angle_alpha 90.00
_cell_angle_beta 90.00
_cell_angle_gamma 90.00
_symmetry_space_group_name_H-M 'P 1'
_symmetry_Int_Tables_number 1
_symmetry_space_group_name_Hall 'P 1'
loop_
_atom_site_label
_atom_site_type_symbol
_atom_site_fract_x
_atom_site_fract_y
_atom_site_fract_z
_atom_site_occupancy
Zn1 Zn 0.0000 0.5000 0.2500 1
Zn2 Zn 0.0000 0.5000 0.7500 1
Zn3 Zn 0.5000 0.0000 0.2500 1
Zn4 Zn 0.5000 0.0000 0.7500 1
Pd1 Pd 0.0000 0.0000 0.0000 1
Pd2 Pd 0.5000 0.5000 0.5000 1
Br1 Br 0.0000 0.0000 0.4064 1
Br2 Br 0.0000 0.0000 0.5936 1
Br3 Br 0.5000 0.5000 0.0936 1
Br4 Br 0.5000 0.5000 0.9064 1
# - Raw formation energy: 185 meV per atom
# - Magnetization: 2.2 μB per cell
# - Crystal system: tetragonal
# - Space group: I4/mmm, No. 139
# - Energy above the most stable polymorph in this dataset: 1.06 eV per formula unit

What is the magnetization in the second record?
0.0 μB per cell